1.
Here is crystalline SiBi2H at its relaxed geometry from Alexandria via LeMat-Bulk. Energies are from GGA-PBE.

extended XYZ file:
```
4
Lattice="0.000 3.478 3.478 3.478 0.000 3.478 3.478 3.478 0.000" Properties=species:S:1:pos:R:3 pbc="T T T"
Si 0.000 0.000 0.000
Bi 1.739 1.739 1.739
Bi 5.217 5.217 5.217
H 3.478 3.478 3.478
```

## Properties
VASP energy	-0.1300	Ha/atom
mass density	8.821	g/cm³
total magnetization	0.00	μB/f.u.

2.
Here is crystalline VGaIr2 at its relaxed geometry from Alexandria via LeMat-Bulk. Energies are from GGA-PBE.

extended XYZ file:
```
4
Lattice="2.848 0.000 0.000 0.000 2.848 0.000 0.000 0.000 6.963" Properties=species:S:1:pos:R:3 pbc="T T T"
V 0.000 0.000 0.000
Ga 0.000 0.000 3.482
Ir 1.424 1.424 1.740
Ir 1.424 1.424 5.223
```

## Properties
formation enthalpy at 0 K	-0.49	eV per atom
mass density	14.850	g/cm³
total magnetization	0.37	μB/f.u.

3.
Here is crystalline ZnSi7 at its relaxed geometry from Alexandria via LeMat-Bulk. Energies are from GGA-PBE.

extended XYZ file:
```
8
Lattice="0.000 3.896 3.896 3.896 0.000 3.896 3.896 3.896 0.000" Properties=species:S:1:pos:R:3 pbc="T T T"
Zn 0.000 0.000 0.000
Si 1.948 1.948 0.000
Si 1.948 0.000 1.948
Si 3.896 1.948 1.948
Si 0.000 1.948 1.948
Si 1.948 3.896 1.948
Si 1.948 1.948 3.896
Si 3.896 3.896 3.896
```

## Properties
mass density	3.679	g/cm³
total magnetization	0.00	μB/f.u.
raw formation energy	494	meV/atom

Question: Among the records above, which one has the highest mass density?
Answer: VGaIr2